! SrLiRe2 | Alexandria | GGA-PBE | optimized geometry; values from VASP
! formation energy from the elements: 935 meV/atom
! SG: P4/mmm (123)
&SYSTEM
  ibrav = 0, nat = 4, ntyp = 3
/
ATOMIC_SPECIES
Li 6.94 Li.upf
Re 186.21 Re.upf
Sr 87.62 Sr.upf
CELL_PARAMETERS angstrom
-1.613 0.871 1.946
1.563 -1.177 1.822
5.345 8.246 0.741
ATOMIC_POSITIONS crystal
Li 0.500 0.500 0.750
Re 0.000 0.000 0.974
Re 0.000 0.000 0.526
Sr 0.500 0.500 0.250

***

! Cd2SbBr | Alexandria | GGA-PBE | optimized geometry; values from VASP
! uncorrected formation energy: -0.23 eV/atom
! SG: Cm (8)
&SYSTEM
  ibrav = 0, nat = 4, ntyp = 3
/
ATOMIC_SPECIES
Sb 121.76 Sb.upf
Br 79.90 Br.upf
Cd 112.41 Cd.upf
CELL_PARAMETERS angstrom
-8.422 -1.299 0.299
-7.031 -3.201 3.608
0.422 3.919 2.077
ATOMIC_POSITIONS crystal
Sb 0.514 0.514 0.591
Br 0.289 0.289 0.004
Cd 0.015 0.015 0.092
Cd 0.682 0.682 0.813

***

! AcZnPb | Alexandria | GGA-PBE | optimized geometry; values from VASP
! formation energy from the elements: -221 meV/atom
! SG: I4mm (107)
&SYSTEM
  ibrav = 0, nat = 3, ntyp = 3
/
ATOMIC_SPECIES
Pb 207.20 Pb.upf
Ac 227.00 Ac.upf
Zn 65.41 Zn.upf
CELL_PARAMETERS angstrom
-0.039 0.962 3.694
3.377 -1.712 0.482
1.169 5.598 -3.417
ATOMIC_POSITIONS crystal
Pb 0.307 0.307 0.615
Ac 0.014 0.014 0.027
Zn 0.679 0.679 0.358

***

! Tl2Si2Pb | Alexandria | GGA-PBE | optimized geometry; values from VASP
! uncorrected formation energy: 0.36 eV/atom
! SG: P4/mbm (127)
&SYSTEM
  ibrav = 0, nat = 10, ntyp = 3
/
ATOMIC_SPECIES
Pb 207.20 Pb.upf
Tl 204.38 Tl.upf
Si 28.09 Si.upf
CELL_PARAMETERS angstrom
-0.495 4.833 5.497
3.138 -4.837 4.535
4.452 1.789 -1.172
ATOMIC_POSITIONS crystal
Pb 0.000 0.000 0.000
Pb 0.500 0.500 0.000
Tl 0.181 0.681 0.500
Tl 0.681 0.819 0.500
Tl 0.819 0.319 0.500
Tl 0.319 0.181 0.500
Si 0.388 0.888 0.000
Si 0.888 0.612 0.000
Si 0.612 0.112 0.000
Si 0.112 0.388 0.000

***

! Li4AgPd | Alexandria | GGA-PBE | optimized geometry; values from VASP
! formation energy from the elements: -261 meV/atom
! SG: P4/mmm (123)
&SYSTEM
  ibrav = 0, nat = 6, ntyp = 3
/
ATOMIC_SPECIES
Li 6.94 Li.upf
Ag 107.87 Ag.upf
Pd 106.42 Pd.upf
CELL_PARAMETERS angstrom
3.210 -0.408 -0.038
0.407 3.210 -0.038
0.115 0.089 8.762
ATOMIC_POSITIONS crystal
Li 0.500 0.500 0.148
Li 0.500 0.500 0.852
Li 0.000 0.000 0.669
Li 0.000 0.000 0.331
Ag 0.500 0.500 0.500
Pd 0.000 0.000 0.000

***

! Ba2LiAlSn6 | Alexandria | GGA-PBE | optimized geometry; values from VASP
! formation energy from the elements: -328 meV/atom
! SG: R-3m (166)
&SYSTEM
  ibrav = 0, nat = 20, ntyp = 4
/
ATOMIC_SPECIES
Ba 137.33 Ba.upf
Li 6.94 Li.upf
Al 26.98 Al.upf
Sn 118.71 Sn.upf
CELL_PARAMETERS angstrom
7.246 0.000 0.000
3.623 6.276 0.000
3.623 2.092 13.305
ATOMIC_POSITIONS crystal
Ba 0.889 0.889 0.332
Ba 0.111 0.111 0.668
Ba 0.711 0.711 0.868
Ba 0.289 0.289 0.132
Li 0.000 0.000 0.000
Li 0.500 0.500 0.500
Al 0.570 0.570 0.291
Al 0.430 0.430 0.709
Sn 0.921 0.336 0.407
Sn 0.336 0.921 0.407
Sn 0.336 0.336 0.407
Sn 0.079 0.664 0.593
Sn 0.664 0.079 0.593
Sn 0.664 0.664 0.593
Sn 0.649 0.234 0.882
Sn 0.234 0.649 0.882
Sn 0.234 0.234 0.882
Sn 0.351 0.766 0.118
Sn 0.766 0.351 0.118
Sn 0.766 0.766 0.118

***

! TaHRu2Pt | Alexandria | GGA-PBE | optimized geometry; values from VASP
! SG: P4/mmm (123)
! total DFT energy (no corrections): -41.5 eV/cell
&SYSTEM
  ibrav = 0, nat = 5, ntyp = 4
/
ATOMIC_SPECIES
Ru 101.07 Ru.upf
H 1.01 H.upf
Pt 195.08 Pt.upf
Ta 180.95 Ta.upf
CELL_PARAMETERS angstrom
-1.640 0.876 -3.552
2.156 -2.913 -1.714
-2.864 -2.530 0.699
ATOMIC_POSITIONS crystal
Ru 0.000 0.500 0.000
Ru 0.500 0.000 0.000
H 0.000 0.000 0.000
Pt 0.000 0.000 0.500
Ta 0.500 0.500 0.500

***

! Sc6Fe2Ni | Alexandria | GGA-PBE | optimized geometry; values from VASP
! formation energy from the elements: -171 meV/atom
! SG: Fmmm (69)
&SYSTEM
  ibrav = 0, nat = 9, ntyp = 3
/
ATOMIC_SPECIES
Sc 44.96 Sc.upf
Fe 55.84 Fe.upf
Ni 58.69 Ni.upf
CELL_PARAMETERS angstrom
4.211 0.000 1.402
2.106 5.821 0.700
0.012 0.001 6.990
ATOMIC_POSITIONS crystal
Sc 0.962 0.239 0.838
Sc 0.299 0.239 0.162
Sc 0.701 0.761 0.838
Sc 0.369 0.763 0.500
Sc 0.631 0.237 0.500
Sc 0.038 0.761 0.162
Fe 0.334 0.500 0.831
Fe 0.666 0.500 0.169
Ni 0.000 0.500 0.500